Entry 1:
Hg2P2O7, relaxed, DFT PBE-GGA; uncorrected formation energy = -1.51 eV/atom; crystal system = monoclinic; volume = 13.7 Å³/atom
1.0
-3.419 -0.763 3.128
1.887 -5.504 -0.447
3.790 2.584 3.606
Hg P O
2 2 7
Direct
0.500 0.304 0.696
0.500 0.696 0.304
0.084 0.794 0.794
0.916 0.206 0.206
0.258 0.641 0.920
0.742 0.080 0.359
0.742 0.359 0.080
0.258 0.920 0.641
0.205 0.358 0.358
0.000 0.000 0.000
0.795 0.642 0.642

=====

Entry 2:
Pu2Cu2Pd5Au, relaxed, DFT PBE-GGA; total DFT energy (no corrections) = -6.99 eV/atom; crystal system = tetragonal; volume = 17.6 Å³/atom
1.0
-2.047 -3.391 0.128
7.659 -4.506 3.148
-2.548 1.873 8.881
Pu Cu Pd Au
4 4 10 2
Direct
0.000 0.678 0.178
0.000 0.322 0.822
0.000 0.178 0.322
0.000 0.822 0.678
0.000 0.119 0.619
0.000 0.881 0.381
0.000 0.619 0.881
0.000 0.381 0.119
0.500 0.207 0.068
0.500 0.793 0.932
0.500 0.068 0.793
0.500 0.707 0.432
0.500 0.932 0.207
0.500 0.293 0.568
0.500 0.568 0.707
0.500 0.432 0.293
0.500 0.500 0.000
0.500 0.000 0.500
0.000 0.000 0.000
0.000 0.500 0.500

=====

Entry 3:
Ac3IrRu, relaxed, DFT PBE-GGA; total DFT energy (no corrections) = -6.43 eV/atom; crystal system = triclinic; volume = 31.8 Å³/atom
1.0
4.371 -0.005 0.897
2.055 7.701 1.040
0.325 -0.524 9.480
Ac Ir Ru
6 2 2
Direct
0.636 0.278 0.455
0.364 0.722 0.545
0.269 0.343 0.119
0.731 0.657 0.881
0.955 0.861 0.230
0.045 0.139 0.770
0.602 0.583 0.213
0.398 0.417 0.787
0.278 0.060 0.386
0.722 0.940 0.614

=====

Entry 4:
La5SmDyY2, relaxed, DFT PBE-GGA; total DFT energy (no corrections) = -4.91 eV/atom; crystal system = tetragonal; volume = 36.0 Å³/atom
1.0
9.569 0.000 0.000
0.000 9.569 0.000
-4.784 -4.784 7.074
La Sm Dy Y
10 2 2 4
Direct
0.936 0.436 0.276
0.660 0.160 0.724
0.064 0.564 0.724
0.160 0.064 0.724
0.564 0.660 0.724
0.840 0.936 0.276
0.436 0.340 0.276
0.340 0.840 0.276
0.500 0.500 0.000
0.000 0.000 0.000
0.250 0.250 0.500
0.750 0.750 0.500
0.250 0.750 0.500
0.750 0.250 0.500
0.108 0.392 0.000
0.608 0.108 0.000
0.392 0.892 0.000
0.892 0.608 0.000

=====

Entry 5:
ZrScTiCd, relaxed, DFT PBE-GGA; total DFT energy (no corrections) = -5.89 eV/atom; crystal system = cubic; volume = 21.4 Å³/atom
1.0
4.948 0.000 0.000
2.474 4.285 0.000
2.474 1.428 4.040
Sc Ti Zr Cd
1 1 1 1
Direct
0.500 0.500 0.500
0.250 0.250 0.250
0.000 0.000 0.000
0.750 0.750 0.750

=====

Entry 6:
HfCd2In, relaxed, DFT PBE-GGA; total DFT energy (no corrections) = -3.32 eV/atom; crystal system = trigonal; volume = 24.2 Å³/atom
1.0
-0.199 -0.948 3.010
-2.220 -2.081 0.858
6.219 -9.402 -0.887
Cd Hf In
2 1 1
Direct
0.088 0.088 0.736
0.912 0.912 0.264
0.000 0.000 0.000
0.500 0.500 0.500

=====

Entry 7:
TbUTe4, relaxed, DFT PBE-GGA; uncorrected formation energy = -0.95 eV/atom; crystal system = orthorhombic; volume = 30.4 Å³/atom
1.0
7.993 -0.019 0.020
4.545 6.575 -0.020
-5.650 -4.462 3.473
Tb Te U
1 4 1
Direct
0.138 0.138 0.000
0.706 0.206 0.500
0.298 0.798 0.500
0.749 0.497 0.251
0.246 0.497 0.749
0.864 0.864 0.000

=====

Entry 8:
TlZn2Ru, relaxed, DFT PBE-GGA; total DFT energy (no corrections) = -3.13 eV/atom; crystal system = tetragonal; volume = 18.7 Å³/atom
1.0
-0.701 -0.174 -3.930
3.549 -1.752 -0.555
-2.551 -9.358 -1.162
Ru Tl Zn
2 2 4
Direct
0.500 0.500 0.000
0.250 0.750 0.500
0.000 0.000 0.000
0.750 0.250 0.500
0.558 0.125 0.250
0.192 0.625 0.250
0.375 0.442 0.750
0.875 0.808 0.750

=====

Entry 9:
CeNi4Te, relaxed, DFT PBE-GGA; uncorrected formation energy = -0.28 eV/atom; crystal system = cubic; volume = 15.3 Å³/atom
1.0
-3.354 2.428 2.924
-4.962 -0.848 -0.595
-2.580 -2.543 3.546
Ni Te Ce
4 1 1
Direct
0.625 0.625 0.126
0.625 0.126 0.625
0.625 0.625 0.625
0.126 0.625 0.625
0.000 0.000 0.000
0.250 0.250 0.250

=====

Entry 10:
TlTeRu2, relaxed, DFT PBE-GGA; uncorrected formation energy = 0.65 eV/atom; crystal system = monoclinic; volume = 19.8 Å³/atom
1.0
-3.804 1.689 -1.005
-1.139 -0.898 2.805
1.656 5.121 2.341
Ru Te Tl
2 1 1
Direct
0.000 0.995 0.049
0.000 0.505 0.451
0.500 0.250 0.250
0.500 0.750 0.750

=====

Entry 11:
Ac5Zn4Ru, relaxed, DFT PBE-GGA; total DFT energy (no corrections) = -3.67 eV/atom; crystal system = tetragonal; volume = 29.0 Å³/atom
1.0
3.839 0.000 0.000
0.000 3.839 0.000
0.000 0.000 19.655
Ac Zn Ru
5 4 1
Direct
0.500 0.500 0.091
0.500 0.500 0.298
0.500 0.500 0.500
0.500 0.500 0.702
0.500 0.500 0.909
0.000 0.000 0.199
0.000 0.000 0.399
0.000 0.000 0.601
0.000 0.000 0.801
0.000 0.000 0.000

=====

Entry 12:
SiW3, relaxed, DFT PBE-GGA; uncorrected formation energy = 0.18 eV/atom; crystal system = trigonal; volume = 15.3 Å³/atom
1.0
-4.538 1.580 1.786
0.654 -5.060 -0.495
4.108 2.736 1.384
Si W
1 3
Direct
0.000 0.000 0.000
0.500 0.000 0.500
0.500 0.500 0.000
0.000 0.500 0.500

=====

What is the volume in the seventh record? 30.4 Å³/atom